1.
## Hf2NiPt9 (PBE-GGA)

Data for a relaxed structure of Hf2NiPt9.

Summary:
DOS(E_F), states/eV/f.u.: 13.98
Total magnetic moment, μB/f.u.: 1.53
Calculated density, g/cm3: 18.93
E_form, eV per atom: -0.756
Symmetry: P4/mmm, No. 123

a = 3.9942 Å, b = 3.9942 Å, c = 11.9401 Å
α = 90.00°, β = 90.00°, γ = 90.00°
Sites, in units of the cell vectors:
Pt (0.5000, 0.5000, 0.3313)
Pt (0.0000, 0.5000, 0.1618)
Pt (0.5000, 0.5000, 0.6687)
Ni (0.0000, 0.0000, 0.0000)
Pt (0.0000, 0.5000, 0.5000)
Hf (0.0000, 0.0000, 0.6743)
Pt (0.5000, 0.0000, 0.1618)
Pt (0.5000, 0.5000, 0.0000)
Pt (0.5000, 0.0000, 0.5000)
Hf (0.0000, 0.0000, 0.3257)
Pt (0.0000, 0.5000, 0.8382)
Pt (0.5000, 0.0000, 0.8382)



2.
## Dy5CdIn (PBE-GGA)

Data for a relaxed structure of Dy5CdIn.

Summary:
DOS(E_F), states/eV/f.u.: 7.90
Total magnetic moment, μB/f.u.: 0.00
Calculated density, g/cm3: 8.39
E_form, eV per atom: -0.070
Symmetry: C2/c, No. 15

a = 6.0975 Å, b = 6.0975 Å, c = 11.4522 Å
α = 100.03°, β = 100.03°, γ = 92.38°
Sites, in units of the cell vectors:
Dy (0.1139, 0.8861, 0.7500)
Dy (0.2386, 0.5269, 0.4650)
Cd (0.0000, 0.0000, 0.0000)
Dy (0.0105, 0.5746, 0.1549)
Dy (0.4254, 0.9895, 0.3451)
In (0.4709, 0.5291, 0.7500)
Dy (0.5269, 0.2386, 0.9650)
Dy (0.4731, 0.7614, 0.0350)
Dy (0.7614, 0.4731, 0.5350)
Dy (0.9895, 0.4254, 0.8451)
Dy (0.5746, 0.0105, 0.6549)
Dy (0.8861, 0.1139, 0.2500)
Cd (0.0000, 0.0000, 0.5000)
In (0.5291, 0.4709, 0.2500)



3.
## RbIrRu (PBE-GGA)

Data for a relaxed structure of RbIrRu.

Summary:
DOS(E_F), states/eV/f.u.: 5.46
Total magnetic moment, μB/f.u.: 1.43
Calculated density, g/cm3: 9.35
E_form, eV per atom: 1.745
Energy above the lowest structure with this stoichiometry, eV per atom: 1.245
Symmetry: F-43m, No. 216

a = 4.5655 Å, b = 4.5655 Å, c = 4.5655 Å
α = 60.00°, β = 60.00°, γ = 60.00°
Sites, in units of the cell vectors:
Rb (0.2500, 0.2500, 0.2500)
Ir (0.7500, 0.7500, 0.7500)
Ru (0.0000, 0.0000, 0.0000)



4.
## La5Nd4In (PBE-GGA)

Data for a relaxed structure of La5Nd4In.

Summary:
DOS(E_F), states/eV/f.u.: 14.51
Total magnetic moment, μB/f.u.: 0.00
Calculated density, g/cm3: 6.60
E_form, eV per atom: -0.035
Energy above the lowest structure with this stoichiometry, eV per atom: 0.000
Symmetry: C2/m, No. 12

a = 3.6389 Å, b = 11.5848 Å, c = 12.1978 Å
α = 135.99°, β = 98.58°, γ = 90.00°
Sites, in units of the cell vectors:
La (0.8090, 0.2098, 0.6179)
In (0.5000, 0.0000, 0.0000)
Nd (0.6069, 0.9174, 0.2139)
La (0.1910, 0.7902, 0.3821)
La (0.5000, 0.5000, 0.0000)
Nd (0.0779, 0.3515, 0.1559)
Nd (0.3931, 0.0826, 0.7861)
La (0.2039, 0.2997, 0.4078)
La (0.7961, 0.7003, 0.5922)
Nd (0.9221, 0.6485, 0.8441)



5.
## Sr2SbHAu (PBE-GGA)

Data for a relaxed structure of Sr2SbHAu.

Summary:
Calculated total energy, eV/cell: -17.630
DOS(E_F), states/eV/f.u.: 1.02
Total magnetic moment, μB/f.u.: 0.00
Calculated density, g/cm3: 6.62
Symmetry: P4/mmm, No. 123

a = 5.5268 Å, b = 5.5268 Å, c = 4.0647 Å
α = 90.00°, β = 90.00°, γ = 90.00°
Sites, in units of the cell vectors:
Sr (0.5000, 0.0000, 0.0000)
H (0.0000, 0.0000, 0.0000)
Sr (0.0000, 0.5000, 0.0000)
Au (0.0000, 0.0000, 0.5000)
Sb (0.5000, 0.5000, 0.5000)



6.
## Rb2ReP2 (PBE-GGA)

Data for a relaxed structure of Rb2ReP2.

Summary:
DOS(E_F), states/eV/f.u.: 3.58
Total magnetic moment, μB/f.u.: 0.06
Calculated density, g/cm3: 5.09
E_form, eV per atom: 0.304
Symmetry: P4/mmm, No. 123

a = 4.7119 Å, b = 4.7119 Å, c = 6.1547 Å
α = 90.00°, β = 90.00°, γ = 90.00°
Sites, in units of the cell vectors:
P (0.5000, 0.0000, 0.0000)
Rb (0.5000, 0.5000, 0.5000)
Re (0.0000, 0.0000, 0.0000)
Rb (0.0000, 0.0000, 0.5000)
P (0.0000, 0.5000, 0.0000)